[1]
First-principles (PBE-GGA) data for Hf3TiRh4 after structural relaxation, as listed in the Alexandria database.

Summary:
* electronic total energy: -9.2270 eV per atom
* total moment: 0.0 μB per formula unit
* Fermi-level density of states: 5.7 states/eV per cell

abc: 3.232 3.232 12.914
angles: 90.00 90.00 90.00
Element x y z (fractional)
Hf (0.000, 0.000, 0.000)
Hf (0.000, 0.000, 0.257)
Hf (0.000, 0.000, 0.743)
Ti (0.000, 0.000, 0.500)
Rh (0.500, 0.500, 0.128)
Rh (0.500, 0.500, 0.384)
Rh (0.500, 0.500, 0.616)
Rh (0.500, 0.500, 0.872)

[2]
First-principles (PBE-GGA) data for Mo2SeI after structural relaxation, as listed in the Alexandria database.

Summary:
* electronic total energy: -6.0371 eV per atom
* raw formation energy: 0.64 eV per atom
* total moment: 0.0 μB per formula unit
* Fermi-level density of states: 13.4 states/eV per cell

abc: 6.534 6.534 6.534
angles: 90.00 90.00 90.00
Element x y z (fractional)
Mo (0.250, 0.250, 0.250)
Mo (0.250, 0.250, 0.750)
Mo (0.250, 0.750, 0.250)
Mo (0.250, 0.750, 0.750)
Mo (0.750, 0.250, 0.250)
Mo (0.750, 0.250, 0.750)
Mo (0.750, 0.750, 0.250)
Mo (0.750, 0.750, 0.750)
Se (0.000, 0.000, 0.000)
Se (0.000, 0.500, 0.500)
Se (0.500, 0.000, 0.500)
Se (0.500, 0.500, 0.000)
I (0.000, 0.000, 0.500)
I (0.000, 0.500, 0.000)
I (0.500, 0.000, 0.000)
I (0.500, 0.500, 0.500)

[3]
First-principles (PBE-GGA) data for Mg3P after structural relaxation, as listed in the Alexandria database.

Summary:
* electronic total energy: -2.5608 eV per atom
* total moment: 0.0 μB per formula unit
* Fermi-level density of states: 3.6 states/eV per cell

abc: 5.435 5.435 5.435
angles: 90.00 90.00 90.00
Element x y z (fractional)
Mg (0.000, 0.250, 0.500)
Mg (0.000, 0.750, 0.500)
Mg (0.250, 0.500, 0.000)
Mg (0.500, 0.000, 0.250)
Mg (0.500, 0.000, 0.750)
Mg (0.750, 0.500, 0.000)
P (0.000, 0.000, 0.000)
P (0.500, 0.500, 0.500)

[4]
First-principles (PBE-GGA) data for LaMg2Fe after structural relaxation, as listed in the Alexandria database.

Summary:
* electronic total energy: -3.9076 eV per atom
* total moment: 2.8 μB per formula unit
* Fermi-level density of states: 18.2 states/eV per cell

abc: 5.070 5.070 7.118
angles: 90.00 90.00 90.00
Element x y z (fractional)
La (0.000, 0.000, 0.000)
La (0.500, 0.500, 0.500)
Mg (0.000, 0.000, 0.500)
Mg (0.000, 0.500, 0.750)
Mg (0.500, 0.000, 0.250)
Mg (0.500, 0.500, 0.000)
Fe (0.000, 0.500, 0.250)
Fe (0.500, 0.000, 0.750)

[5]
First-principles (PBE-GGA) data for KTa2Si after structural relaxation, as listed in the Alexandria database.

Summary:
* electronic total energy: -6.9738 eV per atom
* raw formation energy: 0.58 eV per atom
* total moment: 0.0 μB per formula unit
* Fermi-level density of states: 6.2 states/eV per cell

abc: 2.724 5.477 11.372
angles: 90.00 90.00 90.00
Element x y z (fractional)
K (0.000, 0.000, 0.000)
K (0.500, 0.500, 0.500)
Ta (0.000, 0.500, 0.201)
Ta (0.000, 0.500, 0.799)
Ta (0.500, 0.000, 0.299)
Ta (0.500, 0.000, 0.701)
Si (0.000, 0.000, 0.500)
Si (0.500, 0.500, 0.000)

[6]
First-principles (PBE-GGA) data for MnPbAu2 after structural relaxation, as listed in the Alexandria database.

Summary:
* electronic total energy: -4.7115 eV per atom
* total moment: 4.2 μB per formula unit
* Fermi-level density of states: 3.6 states/eV per cell

abc: 4.384 4.384 8.286
angles: 90.00 90.00 90.00
Element x y z (fractional)
Mn (0.000, 0.000, 0.000)
Mn (0.500, 0.500, 0.500)
Pb (0.000, 0.500, 0.750)
Pb (0.500, 0.000, 0.250)
Au (0.000, 0.000, 0.500)
Au (0.000, 0.500, 0.250)
Au (0.500, 0.000, 0.750)
Au (0.500, 0.500, 0.000)